Entry 1:
First-principles (PBE) data for an optimized crystal structure of HoEr2Ga2Cu2, as listed in the Alexandria database.

Structure (extended XYZ):
```
7
Lattice="-1.285 3.898 1.453 -0.556 0.657 4.269 8.031 4.098 2.636" Properties=species:S:1:pos:R:3 pbc="T T T"
Ga 1.205 2.061 2.061
Ga 4.985 6.592 6.298
Er 1.375 5.515 5.993
Er 4.814 3.138 2.365
Cu 0.463 3.541 3.957
Cu 5.727 5.112 4.401
Ho 0.000 0.000 0.000
```

Properties
As for the formation energy: -2.8 eV per formula unit.

Entry 2:
First-principles (PBE) data for an optimized crystal structure of BeCrFe2, as listed in the Alexandria database.

Structure (extended XYZ):
```
4
Lattice="4.357 -0.003 -0.016 1.657 4.029 0.016 -2.692 -2.484 2.359" Properties=species:S:1:pos:R:3 pbc="T T T"
Cr 0.986 1.779 1.188
Be 2.336 -0.237 1.172
Fe 3.008 2.014 0.000
Fe 6.013 4.026 0.000
```

Properties
As for the formation energy: -0.1 eV per formula unit.

Entry 3:
First-principles (PBE) data for an optimized crystal structure of ErMgScPd, as listed in the Alexandria database.

Structure (extended XYZ):
```
4
Lattice="-2.265 2.967 3.277 -0.772 -1.567 4.650 2.581 1.986 3.750" Properties=species:S:1:pos:R:3 pbc="T T T"
Sc 0.000 0.000 0.000
Mg -0.114 0.846 2.919
Pd -0.341 2.539 8.758
Er -0.228 1.693 5.838
```

Properties
As for the formation energy: -1.6 eV per formula unit.

Entry 4:
First-principles (PBE) data for an optimized crystal structure of Er2CdN, as listed in the Alexandria database.

Structure (extended XYZ):
```
4
Lattice="3.419 0.000 0.000 1.709 2.961 0.000 1.709 0.987 8.950" Properties=species:S:1:pos:R:3 pbc="T T T"
Er 1.709 0.987 5.776
Er 5.128 2.961 3.174
Cd 0.000 0.000 0.000
N 3.419 1.974 4.475
```

Properties
The uncorrected formation energy comes out at -2.77 eV per formula unit.

Entry 5:
First-principles (PBE) data for an optimized crystal structure of PmDyTmZr, as listed in the Alexandria database.

Structure (extended XYZ):
```
4
Lattice="5.511 0.000 0.000 2.755 4.773 0.000 2.755 1.591 4.500" Properties=species:S:1:pos:R:3 pbc="T T T"
Zr 2.755 1.591 1.125
Dy 8.266 4.773 3.375
Tm 5.511 3.182 2.250
Pm 0.000 0.000 0.000
```

Properties
As for the formation energy: 0.9 eV per formula unit.

Entry 6:
First-principles (PBE) data for an optimized crystal structure of ZnSb2Os, as listed in the Alexandria database.

Structure (extended XYZ):
```
4
Lattice="-6.121 1.775 -2.693 -5.297 -3.444 -2.818 4.521 1.362 5.057" Properties=species:S:1:pos:R:3 pbc="T T T"
Sb -2.881 -1.405 -0.084
Sb -10.794 -1.577 -5.210
Zn -6.422 -0.938 -3.100
Os -3.927 1.112 -0.328
```

Properties
The uncorrected formation energy comes out at 1.54 eV per formula unit.

Entry 7:
First-principles (PBE) data for an optimized crystal structure of LaPm7Pr4, as listed in the Alexandria database.

Structure (extended XYZ):
```
12
Lattice="-2.512 0.117 -5.595 7.010 -7.038 -6.656 -4.731 -4.792 -1.339" Properties=species:S:1:pos:R:3 pbc="T T T"
Pm -3.830 -6.011 -8.494
Pm 3.597 -5.701 -5.096
Pm -1.022 -7.129 -6.415
Pm -1.256 0.059 -2.797
Pm -2.353 -2.933 -2.368
Pm 0.789 -4.584 -7.175
Pm 2.120 -8.780 -11.223
Pr -2.426 -3.929 -5.718
Pr 2.194 -7.783 -7.872
Pr 0.735 -3.162 -3.759
Pr -0.967 -8.551 -9.832
La 0.000 0.000 0.000
```

Properties
The relative energy among the computed polymorphs comes out at 0.204 eV/atom. As for the formation energy: 2.6 eV per formula unit.

Entry 8:
First-principles (PBE) data for an optimized crystal structure of Pr2CoCu3Ni12, as listed in the Alexandria database.

Structure (extended XYZ):
```
18
Lattice="8.917 1.717 1.218 5.897 6.906 1.218 5.897 3.432 6.115" Properties=species:S:1:pos:R:3 pbc="T T T"
Cu 2.948 1.716 3.058
Cu 4.459 0.858 0.609
Cu 2.948 3.453 0.609
Ni 11.021 6.415 5.989
Ni 4.838 4.855 1.283
Ni 8.509 6.311 4.476
Ni 14.100 10.246 7.268
Ni 9.690 5.640 2.562
Ni 12.202 5.745 4.075
Ni 11.021 7.773 4.075
Ni 15.873 7.201 7.268
Ni 4.838 2.816 4.158
Ni 6.611 1.809 1.283
Ni 9.690 4.283 4.476
Ni 15.873 9.239 4.393
Co 0.000 0.000 0.000
Pr 7.161 4.168 2.956
Pr 13.550 7.887 5.594
```

Properties
As for the formation energy: 4.7 eV per formula unit.

no.,calculated total energy (eV for the cell shown)
1,-30.7
2,-30.3
3,-19.3
4,-21.1
5,-21.5
6,-19.2
7,-54.7
8,-93.7